(i)
Compound: CsNdFeTe3
Source: OQMD
Functional: PBE-GGA
Structure: optimized geometry

abc: 12.576 4.758 14.000
angles: 90.00 90.00 90.00
Sites, in units of the cell vectors:
Cs 0.174 0.000 0.001
Cs 0.674 0.000 0.499
Cs 0.826 0.500 0.999
Cs 0.326 0.500 0.501
Nd 0.474 0.500 0.170
Nd 0.026 0.000 0.670
Nd 0.526 0.000 0.830
Nd 0.974 0.500 0.330
Fe 0.741 0.000 0.205
Fe 0.259 0.500 0.795
Fe 0.759 0.500 0.705
Fe 0.241 0.000 0.295
Te 0.712 0.500 0.291
Te 0.601 0.000 0.061
Te 0.212 0.500 0.209
Te 0.101 0.000 0.439
Te 0.447 0.000 0.321
Te 0.788 0.000 0.791
Te 0.553 0.500 0.679
Te 0.288 0.000 0.709
Te 0.399 0.500 0.939
Te 0.053 0.500 0.821
Te 0.947 0.000 0.179
Te 0.899 0.500 0.561

Symmetry: Pnma (62)
V, A^3/atom: 34.91

(ii)
Compound: CsNdFeTe3
Source: OQMD
Functional: PBE-GGA
Structure: optimized geometry

abc: 11.794 8.931 8.931
angles: 150.99 90.00 90.00
Sites, in units of the cell vectors:
Te 0.571 0.620 0.380
Te 0.429 0.380 0.620
Te 0.929 0.620 0.380
Te 0.750 0.939 0.061
Te 0.250 0.061 0.939
Te 0.071 0.380 0.620
Nd 0.000 0.000 0.000
Nd 0.500 0.000 0.000
Fe 0.250 0.470 0.530
Fe 0.750 0.530 0.470
Cs 0.750 0.257 0.743
Cs 0.250 0.743 0.257

Symmetry: Cmcm (63)
V, A^3/atom: 38.01

Question: which arrangement is favored energetically? Ranking from most to least stable: (ii), (i).

(i)
Compound: CsPmFe
Source: OQMD
Functional: PBE-GGA
Structure: optimized geometry

abc: 5.059 5.059 5.059
angles: 60.00 60.00 60.00
Sites, in units of the cell vectors:
Cs 0.000 0.000 0.000
Pm 0.250 0.250 0.250
Fe 0.750 0.750 0.750

Symmetry: F-43m (216)
V, A^3/atom: 30.52

(ii)
Compound: CsPmFe
Source: OQMD
Functional: PBE-GGA
Structure: optimized geometry

abc: 5.286 5.286 5.286
angles: 60.00 60.00 60.00
Sites, in units of the cell vectors:
Pm 0.000 0.000 0.000
Fe 0.750 0.750 0.750
Cs 0.250 0.250 0.250

Symmetry: F-43m (216)
V, A^3/atom: 34.82

Question: which arrangement is favored energetically? Ranking from most to least stable: (ii), (i).